Entry from Alexandria via LeMat-Bulk: Tl3Cu2AuBr8 after structural relaxation (PBE).

Calculated values
calculated total energy	-2.739	eV/atom
ΔE_f (raw)	-617	kJ/mol of formula units

Cell lengths 7.4668, 7.4668, 9.4510 Å; angles 90.00, 90.00, 120.00 degrees
Atoms (fractional coordinates):
1 Tl 0.0000 0.0000 0.0000
2 Tl 0.3333 0.6667 0.6157
3 Tl 0.6667 0.3333 0.3843
4 Cu 0.3333 0.6667 0.1959
5 Cu 0.6667 0.3333 0.8041
6 Au 0.0000 0.0000 0.5000
7 Br 0.1669 0.3338 0.3219
8 Br 0.1669 0.8331 0.3219
9 Br 0.3333 0.6667 0.9518
10 Br 0.3338 0.1669 0.6781
11 Br 0.6662 0.8331 0.3219
12 Br 0.6667 0.3333 0.0482
13 Br 0.8331 0.1669 0.6781
14 Br 0.8331 0.6662 0.6781

=====

Entry from Alexandria via LeMat-Bulk: BeB after structural relaxation (PBE).

Calculated values
distance to the lowest polymorph of the same formula	171	meV/atom
calculated total energy	-5.001	eV/atom

Cell lengths 5.3683, 5.3683, 5.3683 Å; angles 94.41, 94.41, 147.82 degrees
Atoms (fractional coordinates):
1 Be 0.0619 0.6584 0.7203
2 Be 0.3416 0.0619 0.4035
3 Be 0.6584 0.9381 0.5965
4 Be 0.9381 0.3416 0.2797
5 B 0.2067 0.2783 0.4849
6 B 0.2783 0.7933 0.0716
7 B 0.7217 0.2067 0.9284
8 B 0.7933 0.7217 0.5151

=====

Entry from Alexandria via LeMat-Bulk: SrCaTeIr2 after structural relaxation (PBE).

Calculated values
calculated total energy	-3.724	eV/atom
ΔE_f (raw)	572	kJ/mol of formula units

Cell lengths 5.0985, 5.0985, 6.0233 Å; angles 90.00, 90.00, 90.00 degrees
Atoms (fractional coordinates):
1 Sr 0.0000 0.0000 0.0000
2 Ca 0.5000 0.5000 0.5000
3 Te 0.0000 0.0000 0.5000
4 Ir 0.0000 0.5000 0.0000
5 Ir 0.5000 0.0000 0.0000

=====

Entry from Alexandria via LeMat-Bulk: Ho2Ga8Ru after structural relaxation (PBE).

Calculated values
calculated total energy	-4.372	eV/atom

Cell lengths 4.2758, 4.2758, 11.2379 Å; angles 90.00, 90.00, 90.00 degrees
Atoms (fractional coordinates):
1 Ho 0.0000 0.0000 0.1913
2 Ho 0.0000 0.0000 0.8087
3 Ga 0.0000 0.5000 0.0000
4 Ga 0.0000 0.5000 0.3782
5 Ga 0.0000 0.5000 0.6218
6 Ga 0.5000 0.0000 0.0000
7 Ga 0.5000 0.0000 0.3782
8 Ga 0.5000 0.0000 0.6218
9 Ga 0.5000 0.5000 0.1911
10 Ga 0.5000 0.5000 0.8089
11 Ru 0.0000 0.0000 0.5000